[1]
Compound: LiHfScIr2
Source: Alexandria
Functional: PBE
Structure: relaxed

Properties
E_form: -0.0038 eV/atom
Crystal system: tetragonal

abc: 4.3960 4.1421 4.3960
angles: 90.00 90.00 90.00
Closest atoms and distances in Å follow each position.
Sites, in units of the cell vectors:
Sc: 0.0000 0.5000 0.0000  2 Li 2.07
Ir: 0.0000 0.0000 0.5000  2 Li 2.20
Ir: 0.5000 0.0000 0.0000  2 Li 2.20
Hf: 0.5000 0.5000 0.5000  8 Ir 3.02, 4 Sc 3.11
Li: 0.0000 0.0000 0.0000  2 Sc 2.07, 4 Ir 2.20


[2]
Compound: KCeSc4Se8
Source: Alexandria
Functional: PBE
Structure: relaxed

Properties
Crystal system: trigonal
E_form (uncorrected): -1.56 eV/atom

abc: 8.1418 8.1418 8.4826
angles: 61.32 61.32 60.00
Closest atoms and distances in Å follow each position.
Sites, in units of the cell vectors:
K: 0.3644 0.3644 0.9068  4 Se 2.87-2.93
Ce: 0.0044 0.0044 0.9869  6 Se 2.89-3.04
Sc: 0.6275 0.6275 0.1175  4 Se 2.62-2.75
Sc: 0.0044 0.4854 0.5058  6 Se 2.63-2.91
Sc: 0.4854 0.0044 0.5058  6 Se 2.63-2.91
Sc: 0.0044 0.0044 0.5058  6 Se 2.63-2.91
Se: 0.2480 0.7949 0.7091  2 Sc 2.63, 1 Ce 2.89, 1 K 2.93
Se: 0.7949 0.2480 0.7091  2 Sc 2.63, 1 Ce 2.89, 1 K 2.93
Se: 0.2480 0.2480 0.7091  2 Sc 2.63, 1 Ce 2.89, 1 K 2.93
Se: 0.2290 0.2290 0.3129  3 Sc 2.64, 1 K 2.87
Se: 0.7474 0.2376 0.2677  3 Sc 2.62-2.91
Se: 0.2376 0.7474 0.2677  3 Sc 2.62-2.91
Se: 0.7474 0.7474 0.2677  3 Sc 2.62-2.91
Se: 0.7573 0.7573 0.7280  4 Sc 2.75-2.90


[3]
Compound: SrLi8Mg4
Source: Alexandria
Functional: PBE
Structure: relaxed

Properties
E_form: -0.0163 eV/atom
Crystal system: tetragonal

abc: 6.0429 7.7979 7.7979
angles: 81.37 67.20 67.20
Closest atoms and distances in Å follow each position.
Sites, in units of the cell vectors:
Sr: 0.0000 0.0000 0.0000  12 Li 3.63-3.77, 8 Mg 3.90
Li: 0.0000 0.3571 0.6429  3 Li 2.91-3.19, 4 Mg 3.15
Li: 0.0000 0.6429 0.3571  3 Li 2.91-3.19, 4 Mg 3.15
Li: 0.3571 0.6429 0.6429  3 Li 2.91-3.19, 4 Mg 3.15
Li: 0.6429 0.3571 0.3571  3 Li 2.91-3.19, 4 Mg 3.15
Li: 0.5000 0.7790 0.2210  4 Mg 2.97, 6 Li 3.18-3.32
Li: 0.5000 0.2210 0.7790  4 Mg 2.97, 6 Li 3.18-3.32
Li: 0.2790 0.2210 0.2210  4 Mg 2.97, 6 Li 3.18-3.32
Li: 0.7210 0.7790 0.7790  4 Mg 2.97, 6 Li 3.18-3.32
Mg: 0.0000 0.0000 0.5000  8 Li 2.97-3.15, 2 Mg 3.02
Mg: 0.5000 0.0000 0.5000  8 Li 2.97-3.15, 2 Mg 3.02
Mg: 0.0000 0.5000 0.0000  8 Li 2.97-3.15, 2 Mg 3.02
Mg: 0.5000 0.5000 0.0000  8 Li 2.97-3.15, 2 Mg 3.02